Record 1
First-principles (PBE) data for crystalline TiSeBr2O at its relaxed geometry, as listed in the Alexandria database.

Computed properties:
Final energy, eV per atom: -3.89
Offset from the most stable computed form, eV/atom: 0.000

Lattice parameters (Å, degrees): 5.073 5.073 4.907 90.00 90.00 90.00
Space group P4/mmm (No. 123)
Symmetry-distinct sites (fractional):
Ti: 0.000 0.000 0.000 x1
Se: 0.000 0.000 0.500 x1
Br: 0.000 0.500 0.000 x2
O: 0.500 0.500 0.500 x1

Record 2
First-principles (PBE) data for crystalline DyNi2Pt2 at its relaxed geometry, as listed in the Alexandria database.

Computed properties:
E_form, kcal/mol of atoms: -11.6
Final energy, eV per atom: -6.15

Lattice parameters (Å, degrees): 3.899 3.899 22.277 90.00 90.00 90.00
Space group I4/mmm (No. 139)
Symmetry-distinct sites (fractional):
Dy: 0.000 0.000 0.119 x4
Ni: 0.000 0.000 0.428 x4
Ni: 0.000 0.500 0.250 x4
Pt: 0.000 0.000 0.322 x4
Pt: 0.000 0.500 0.000 x4

Please write out number 2 again, unchanged.
First-principles (PBE) data for crystalline DyNi2Pt2 at its relaxed geometry, as listed in the Alexandria database.

Computed properties:
E_form, kcal/mol of atoms: -11.6
Final energy, eV per atom: -6.15

Lattice parameters (Å, degrees): 3.899 3.899 22.277 90.00 90.00 90.00
Space group I4/mmm (No. 139)
Symmetry-distinct sites (fractional):
Dy: 0.000 0.000 0.119 x4
Ni: 0.000 0.000 0.428 x4
Ni: 0.000 0.500 0.250 x4
Pt: 0.000 0.000 0.322 x4
Pt: 0.000 0.500 0.000 x4